[1]
NdTlCl2: optimized geometry, PBE.

```
NdTlCl2
1.0
3.685 0.000 0.000
1.842 3.191 0.000
1.842 1.064 10.452
Tl Nd Cl
1 1 2
direct
0.000 0.000 0.000 Tl
0.500 0.500 0.500 Nd
0.105 0.105 0.684 Cl
0.895 0.895 0.316 Cl
```

Values from the calculation:
**Formation energy from raw total energies**: -1.373 eV per atom
**Symmetry**: R-3m (166)

[2]
BiPtAu2: optimized geometry, PBE.

```
BiPtAu2
1.0
-3.951 4.508 5.097
-6.802 -2.792 -2.803
-5.305 -1.196 3.019
Au Bi Pt
4 2 2
direct
0.605 0.125 0.250 Au
0.145 0.625 0.250 Au
0.375 0.395 0.750 Au
0.875 0.855 0.750 Au
0.000 0.000 0.000 Bi
0.750 0.250 0.500 Bi
0.500 0.500 0.000 Pt
0.250 0.750 0.500 Pt
```

Values from the calculation:
**Symmetry**: I-42d (122)
**Energy of formation**: 0.107 eV/atom

[3]
ZrNbGa3: optimized geometry, PBE.

```
ZrNbGa3
1.0
4.953 0.000 0.000
0.000 4.953 0.000
0.000 0.000 4.953
Nb Ga Zr
1 3 1
direct
0.500 0.500 0.500 Nb
0.000 0.500 0.000 Ga
0.000 0.000 0.500 Ga
0.500 0.000 0.000 Ga
0.000 0.000 0.000 Zr
```

Values from the calculation:
**Symmetry**: Pm-3m (221)
**E above lowest polymorph**: 588 kJ/mol of formula units
**Energy of formation**: 1.083 eV/atom

[4]
GaIr2Cl2: optimized geometry, PBE.

```
GaIr2Cl2
1.0
6.473 0.000 0.000
0.000 6.473 0.000
0.000 0.000 4.579
Ir Ga Cl
4 2 4
direct
0.362 0.862 0.000 Ir
0.862 0.638 0.000 Ir
0.638 0.138 0.000 Ir
0.138 0.362 0.000 Ir
0.000 0.000 0.000 Ga
0.500 0.500 0.000 Ga
0.298 0.798 0.500 Cl
0.798 0.702 0.500 Cl
0.702 0.202 0.500 Cl
0.202 0.298 0.500 Cl
```

Values from the calculation:
**Formation energy from raw total energies**: 0.137 eV per atom
**Symmetry**: P4/mbm (127)
**E above lowest polymorph**: 0 kJ/mol of formula units